1.
! PBE KMg2As, optimized geometry; values from VASP
! Space-group type = Imm2, No. 44
! DFT formation energy = -0.01 eV per atom
&SYSTEM
  ibrav = 0, nat = 4, ntyp = 3
/
ATOMIC_SPECIES
K 39.10 K.upf
Mg 24.30 Mg.upf
As 74.92 As.upf
ATOMIC_POSITIONS angstrom
K 0.756 2.487 1.999
Mg 6.181 4.626 0.000
As 3.905 2.923 0.000
Mg 2.669 -1.039 1.870
CELL_PARAMETERS angstrom
5.622 -0.750 -0.130
0.866 5.605 0.130
-2.709 -3.143 3.869

2.
! PBE NaNd4Tl4, optimized geometry; values from VASP
! Space-group type = P4_2/n, No. 86
! DFT formation energy = -0.19 eV per atom
&SYSTEM
  ibrav = 0, nat = 18, ntyp = 3
/
ATOMIC_SPECIES
Nd 144.24 Nd.upf
Tl 204.38 Tl.upf
Na 22.99 Na.upf
ATOMIC_POSITIONS angstrom
Nd -7.887 -8.581 2.434
Nd -5.643 -1.895 -0.703
Nd -3.386 -3.662 3.067
Tl -7.511 -2.755 2.021
Tl -7.200 -8.817 -0.811
Nd -8.445 -5.643 0.020
Nd -7.575 -3.813 -3.415
Nd -4.302 -7.766 0.888
Tl -2.657 -7.006 3.894
Tl -9.122 -2.309 -0.885
Nd -0.840 -6.135 1.248
Tl -2.649 -3.907 -0.257
Tl -2.795 -0.834 1.075
Na 0.000 0.000 0.000
Nd -5.474 -0.436 3.005
Tl -5.900 -6.252 3.497
Na -5.444 -4.741 0.818
Tl -5.716 -6.051 -1.988
CELL_PARAMETERS angstrom
-3.416 0.644 5.254
-7.774 -0.967 -4.936
0.302 -9.160 1.319